[1]
Material: Tl4Hg5H2
Method: DFT, PBE
State: optimized geometry

The space group is P-1 (No. 2) and the conventional cell measures 3.4365, 9.0844 and 9.5032 Å, with angles of 73.66, 79.62 and 89.92 degrees. The inequivalent atoms are Tl at (0.0156, 0.3138, 0.4781), Tl at (0.3054, 0.7066, 0.8645), Hg at (0.1573, 0.9577, 0.1645), Hg at (0.3957, 0.3749, 0.7508), Hg at (0.5000, 0.0000, 0.5000) and H at (0.2736, 0.3706, 0.9585).

For the spin magnetization, the calculation gives 0.00 μB/atom. Its total energy is -1.4843 eV per atom.

[2]
Material: Tl3Hg4H4
Method: DFT, PBE
State: optimized geometry

The space group is Immm (No. 71) and the conventional cell measures 3.3618, 8.5447 and 18.2455 Å, with angles of 90.00, 90.00 and 90.00 degrees. The inequivalent atoms are Tl at (0.0000, 0.0000, 0.0000), Tl at (0.0000, 0.5000, 0.1666), Hg at (0.0000, 0.0000, 0.1705), Hg at (0.0000, 0.1836, 0.5000) and H at (0.0000, 0.1675, 0.4055).

For the spin magnetization, the calculation gives 0.00 μB/atom. Its total energy is -1.7130 eV per atom.

[3]
Material: Tl2HgH
Method: DFT, PBE
State: optimized geometry

The space group is I-42d (No. 122) and the conventional cell measures 7.6909, 7.6909 and 6.5328 Å, with angles of 90.00, 90.00 and 90.00 degrees. The inequivalent atoms are Tl at (0.1587, 0.7500, 0.1250), Hg at (0.0000, 0.0000, 0.5000) and H at (0.0000, 0.0000, 0.0000).

For the spin magnetization, the calculation gives 0.00 μB/atom. Its total energy is -1.8757 eV per atom.

[4]
Material: Tl3Hg8H2
Method: DFT, PBE
State: optimized geometry

The space group is P-1 (No. 2) and the conventional cell measures 5.9877, 6.3140 and 8.9926 Å, with angles of 78.00, 87.45 and 83.44 degrees. The inequivalent atoms are Tl at (0.0000, 0.0000, 0.0000), Tl at (0.3987, 0.8064, 0.7332), Hg at (0.0697, 0.4619, 0.1830), Hg at (0.1302, 0.9380, 0.3863), Hg at (0.2735, 0.3853, 0.5429), Hg at (0.4443, 0.2834, 0.9144) and H at (0.3000, 0.8554, 0.2407).

For the spin magnetization, the calculation gives 0.00 μB/atom. Its total energy is -1.1373 eV per atom.

[5]
Material: Tl2HgH
Method: DFT, PBE
State: optimized geometry

The space group is P4/mmm (No. 123) and the conventional cell measures 3.3241, 3.3241 and 8.4345 Å, with angles of 90.00, 90.00 and 90.00 degrees. The inequivalent atoms are Tl at (0.0000, 0.0000, 0.1928), Hg at (0.5000, 0.5000, 0.5000) and H at (0.5000, 0.5000, 0.0000).

For the spin magnetization, the calculation gives 0.00 μB/atom. Its total energy is -1.8446 eV per atom.

[6]
Material: Tl2HgH3
Method: DFT, PBE
State: optimized geometry

The space group is Cmcm (No. 63) and the conventional cell measures 5.4599, 5.6962 and 14.7369 Å, with angles of 90.00, 90.00 and 90.00 degrees. The inequivalent atoms are Tl at (0.0000, 0.2388, 0.0902), Hg at (0.0000, 0.3901, 0.7500), H at (0.0000, 0.0716, 0.7500) and H at (0.2443, 0.0000, 0.0000).

For the spin magnetization, the calculation gives 0.00 μB/atom. Its total energy is -2.1209 eV per atom.

[7]
Material: Tl2Hg4H3
Method: DFT, PBE
State: optimized geometry

The space group is P-1 (No. 2) and the conventional cell measures 6.5457, 7.4853 and 9.3413 Å, with angles of 71.52, 70.56 and 69.44 degrees. The inequivalent atoms are Tl at (0.0144, 0.4838, 0.3041), Tl at (0.4810, 0.0453, 0.2401), Hg at (0.0746, 0.0316, 0.6253), Hg at (0.1091, 0.1360, 0.0259), Hg at (0.4304, 0.4174, 0.8852), Hg at (0.4979, 0.6835, 0.5391), H at (0.0371, 0.6798, 0.4367), H at (0.1949, 0.5999, 0.9303) and H at (0.3289, 0.7601, 0.1553).

For the spin magnetization, the calculation gives 0.00 μB/atom. Its total energy is -1.5620 eV per atom.

[8]
Material: Tl3Hg2H
Method: DFT, PBE
State: optimized geometry

The space group is P-1 (No. 2) and the conventional cell measures 5.7489, 6.1166 and 9.7053 Å, with angles of 102.79, 95.43 and 108.89 degrees. The inequivalent atoms are Tl at (0.0350, 0.0626, 0.3386), Tl at (0.1959, 0.3324, 0.0406), Tl at (0.3849, 0.6972, 0.4266), Hg at (0.2072, 0.5191, 0.7196), Hg at (0.4946, 0.9398, 0.1519) and H at (0.1438, 0.9584, 0.1124).

For the spin magnetization, the calculation gives 0.00 μB/atom. Its total energy is -1.7226 eV per atom.

[9]
Material: Tl4Hg3H4
Method: DFT, PBE
State: optimized geometry

The space group is Immm (No. 71) and the conventional cell measures 5.3302, 7.0156 and 12.7769 Å, with angles of 90.00, 90.00 and 90.00 degrees. The inequivalent atoms are Tl at (0.0000, 0.0000, 0.2250), Tl at (0.0000, 0.2476, 0.5000), Hg at (0.0000, 0.0000, 0.0000), Hg at (0.0000, 0.5000, 0.1220) and H at (0.0000, 0.2239, 0.3074).

For the spin magnetization, the calculation gives 0.00 μB/atom. Its total energy is -1.8230 eV per atom.

[10]
Material: TlHgH3
Method: DFT, PBE
State: optimized geometry

The space group is R3c (No. 161, hexagonal axes) and the conventional cell measures 6.0544, 6.0544 and 15.6861 Å, with angles of 90.00, 90.00 and 120.00 degrees. The inequivalent atoms are Tl at (0.0000, 0.0000, 0.0000), Hg at (0.0000, 0.0000, 0.2264) and H at (0.0055, 0.5010, 0.0575).

For the spin magnetization, the calculation gives 0.00 μB/atom. Its total energy is -2.2012 eV per atom.

[11]
Material: Tl2HgH
Method: DFT, PBE
State: optimized geometry

The space group is R-3m (No. 166, hexagonal axes) and the conventional cell measures 3.5498, 3.5498 and 26.6450 Å, with angles of 90.00, 90.00 and 120.00 degrees. The inequivalent atoms are Tl at (0.0000, 0.0000, 0.2260), Hg at (0.0000, 0.0000, 0.0000) and H at (0.0000, 0.0000, 0.5000).

For the spin magnetization, the calculation gives 0.00 μB/atom. Its total energy is -1.9084 eV per atom.

[12]
Material: Tl3Hg2H2
Method: DFT, PBE
State: optimized geometry

The space group is P-1 (No. 2) and the conventional cell measures 3.2984, 3.6977 and 13.6423 Å, with angles of 92.77, 90.52 and 93.95 degrees. The inequivalent atoms are Tl at (0.0000, 0.0000, 0.0000), Tl at (0.2456, 0.2464, 0.5904), Hg at (0.2530, 0.6069, 0.2020) and H at (0.2462, 0.1084, 0.1961).

For the spin magnetization, the calculation gives 0.00 μB/atom. Its total energy is -1.8457 eV per atom.